5
Lattice="4.2593 0.0000 0.0000 0.0000 4.2593 0.0000 2.1297 2.1297 4.9195" Properties=species:S:1:pos:R:3 comment="YSi2Pd2 | the Alexandria database | PBE | optimized geometry" crystal_system=tetragonal n_ef_per_ev_cell=2.10 sg="I4/mmm, No. 139" e_tot_ev_per_cell=-31.409 pbc="T T T"
Y 0.0000 0.0000 0.0000
Si 4.2593 2.1297 2.4598
Si 2.1297 4.2593 2.4598
Pd 2.1297 2.1297 1.3326
Pd 4.2593 4.2593 3.5869

3
Lattice="-3.0565 0.0950 -1.8187 0.0491 -4.3345 -0.3088 -1.9505 1.9158 3.3780" Properties=species:S:1:pos:R:3 comment="YSiPd | the Alexandria database | PBE | optimized geometry" crystal_system=hexagonal n_ef_per_ev_cell=1.36 sg="P-6m2, No. 187" e_tot_ev_per_cell=-19.956 pbc="T T T"
Y -3.3217 -0.1043 0.9366
Si -0.5093 0.0158 -0.3030
Pd -1.1270 -2.2352 0.6169

5
Lattice="5.1971 0.0000 0.0000 0.0000 5.1971 0.0000 0.0000 0.0000 5.1971" Properties=species:S:1:pos:R:3 comment="YSi3Pd | the Alexandria database | PBE | optimized geometry" crystal_system=cubic n_ef_per_ev_cell=3.44 sg="Pm-3m, No. 221" e_tot_ev_per_cell=-21.092 pbc="T T T"
Y 0.0000 0.0000 0.0000
Si 0.0000 2.5985 0.0000
Si 0.0000 0.0000 2.5985
Si 2.5985 0.0000 0.0000
Pd 2.5985 2.5985 2.5985

5
Lattice="-4.4804 -1.9410 1.1727 1.3512 -0.1995 4.8323 -1.8212 4.6270 0.7002" Properties=species:S:1:pos:R:3 comment="YSiPd3 | the Alexandria database | PBE | optimized geometry" crystal_system=cubic relative_energy_kj_per_mol_atoms=141.1 n_ef_per_ev_cell=2.42 sg="Pm-3m, No. 221" pbc="T T T"
Y 0.0000 0.0000 0.0000
Si -2.4752 1.2433 3.3526
Pd 0.6756 -0.0997 2.4161
Pd -0.9106 2.3135 0.3501
Pd -2.2402 -0.9705 0.5863

14
Lattice="3.9219 0.0000 0.9894 1.4223 7.4612 2.6299 -0.0081 0.0535 8.3001" Properties=species:S:1:pos:R:3 comment="Y3Si4Pd7 | the Alexandria database | PBE | optimized geometry" crystal_system=monoclinic n_ef_per_ev_cell=7.00 sg="C2/m, No. 12" e_tot_ev_per_cell=-90.444 pbc="T T T"
Y 1.5234 1.3301 2.2292
Y 3.8127 6.1846 9.6902
Y 0.7071 3.7574 5.4650
Si 3.2329 3.2934 3.7206
Si 2.1032 4.2213 8.1988
Si 4.7591 6.6785 5.9389
Si 0.5770 0.8363 5.9805
Pd 2.4082 6.3831 6.9897
Pd 2.2645 1.8395 7.5593
Pd 3.8422 3.1671 9.5733
Pd 2.9279 1.1316 4.9296
Pd 1.4939 4.3477 2.3461
Pd 0.0000 0.0000 0.0000
Pd 3.0716 5.6753 4.3600

9
Lattice="-3.4161 2.8628 4.2073 -5.4817 -2.2579 1.5556 -0.8239 -2.5264 5.5205" Properties=species:S:1:pos:R:3 comment="Y2SiPd6 | the Alexandria database | PBE | optimized geometry" crystal_system=trigonal relative_energy_kj_per_mol_atoms=0.0 n_ef_per_ev_cell=5.41 sg="R-3m, No. 166" pbc="T T T"
Y -2.4299 -0.4797 2.8192
Y -7.2918 -1.4418 8.4642
Si -4.8609 -0.9607 5.6417
Pd -2.6841 -1.8034 5.5733
Pd -5.1953 -1.6598 3.4388
Pd -4.5265 -0.2617 7.8446
Pd -4.0819 1.1003 4.8681
Pd -5.6398 -3.0218 6.4153
Pd -7.0376 -0.1181 5.7102

10
Lattice="-2.2209 -6.5018 -4.3775 -1.9539 -3.9470 6.8536 -3.1318 1.2040 -0.1994" Properties=species:S:1:pos:R:3 comment="Y2Si2Pd | the Alexandria database | PBE | optimized geometry" crystal_system=tetragonal n_ef_per_ev_cell=5.77 sg="P4/mbm, No. 127" e_tot_ev_per_cell=-59.522 pbc="T T T"
Y -2.4724 -5.7162 4.3137
Y -3.1600 -8.1130 0.6418
Y -1.7024 -4.7325 -1.8376
Y -1.0148 -2.3357 1.8342
Si -3.2387 -3.1130 3.7398
Si -4.6748 -7.0216 2.6932
Si -4.0679 -6.1317 -1.4631
Si -2.6318 -2.2230 -0.4166
Pd 0.0000 0.0000 0.0000
Pd -2.0874 -5.2244 1.2380

5
Lattice="-1.6769 1.6888 3.9305 -4.1464 -1.6805 -1.0469 1.0527 -3.9289 2.1373" Properties=species:S:1:pos:R:3 comment="YSiPd3 | the Alexandria database | PBE | optimized geometry" crystal_system=cubic relative_energy_kj_per_mol_atoms=0.0 n_ef_per_ev_cell=2.90 sg="Pm-3m, No. 221" pbc="T T T"
Y -2.3853 -1.9603 2.5104
Si 0.0000 0.0000 0.0000
Pd -2.0732 -0.8403 -0.5235
Pd 0.5264 -1.9645 1.0687
Pd -0.8384 0.8444 1.9652